Record 1
# Mn4CrBr PBE optimized geometry
data_Mn4CrBr
_space_group_name_H-M_alt 'F -4 3 m'
_space_group_IT_number 216
_space_group_name_Hall 'F -4 2 3'
_cell_length_a 7.0264
_cell_length_b 7.0264
_cell_length_c 7.0264
_cell_angle_alpha 90.00
_cell_angle_beta 90.00
_cell_angle_gamma 90.00
loop_
_atom_site_label
_atom_site_fract_x
_atom_site_fract_y
_atom_site_fract_z
_atom_site_occupancy
Mn1 0.1240 0.1240 0.3760 1
Cr1 0.2500 0.2500 0.7500 1
Br1 0.0000 0.0000 0.0000 1
# * density of states at the Fermi level: 7.83 states/eV/f.u.
# * M_tot: 26.38 μB/cell
# * formation energy (no corrections): 74 kJ/mol of atoms
# * final energy: -7.23 eV/atom


Record 2
# HoGe4Pd6 PBE optimized geometry
data_HoGe4Pd6
_space_group_name_H-M_alt 'P -6 m 2'
_space_group_IT_number 187
_space_group_name_Hall 'P -6 2'
_cell_length_a 7.3973
_cell_length_b 7.3973
_cell_length_c 3.8722
_cell_angle_alpha 90.00
_cell_angle_beta 90.00
_cell_angle_gamma 120.00
loop_
_atom_site_label
_atom_site_fract_x
_atom_site_fract_y
_atom_site_fract_z
_atom_site_occupancy
Ho1 0.0000 0.0000 0.0000 1
Ge1 0.3333 0.6667 0.0000 1
Ge2 0.3788 0.1894 0.5000 1
Pd1 0.1977 0.3955 0.5000 1
Pd2 0.5355 0.0709 0.0000 1
# * density of states at the Fermi level: 4.42 states/eV/f.u.
# * M_tot: 0.00 μB/cell
# * final energy: -5.59 eV/atom
# * calculated formation energy: -0.67 eV/atom


Record 3
# Ce4Ga2Hg PBE optimized geometry
data_Ce4Ga2Hg
_space_group_name_H-M_alt 'R -3 m'
_space_group_IT_number 166
_space_group_name_Hall '-R 3 2"'
_cell_length_a 4.3072
_cell_length_b 4.3072
_cell_length_c 36.7816
_cell_angle_alpha 90.00
_cell_angle_beta 90.00
_cell_angle_gamma 120.00
loop_
_atom_site_label
_atom_site_fract_x
_atom_site_fract_y
_atom_site_fract_z
_atom_site_occupancy
Ce1 0.0000 0.0000 0.1102 1
Ce2 0.0000 0.0000 0.3149 1
Ga1 0.0000 0.0000 0.3984 1
Hg1 0.0000 0.0000 0.5000 1
# * density of states at the Fermi level: 19.66 states/eV/f.u.
# * M_tot: 6.73 μB/cell
# * final energy: -4.48 eV/atom
# * calculated formation energy: -0.18 eV/atom


Question: Which of these has the lowest M_tot?
Answer: HoGe4Pd6


Copy entry 1 word for word.
# Mn4CrBr PBE optimized geometry
data_Mn4CrBr
_space_group_name_H-M_alt 'F -4 3 m'
_space_group_IT_number 216
_space_group_name_Hall 'F -4 2 3'
_cell_length_a 7.0264
_cell_length_b 7.0264
_cell_length_c 7.0264
_cell_angle_alpha 90.00
_cell_angle_beta 90.00
_cell_angle_gamma 90.00
loop_
_atom_site_label
_atom_site_fract_x
_atom_site_fract_y
_atom_site_fract_z
_atom_site_occupancy
Mn1 0.1240 0.1240 0.3760 1
Cr1 0.2500 0.2500 0.7500 1
Br1 0.0000 0.0000 0.0000 1
# * density of states at the Fermi level: 7.83 states/eV/f.u.
# * M_tot: 26.38 μB/cell
# * formation energy (no corrections): 74 kJ/mol of atoms
# * final energy: -7.23 eV/atom